1.
This record from Alexandria describes a relaxed TbGdHg crystal. The functional is PBE.

Cell lengths 3.7197, 5.1589, 5.1589 Å; angles 120.00, 90.00, 90.00 degrees
Last column: nearest neighbours and their distance in Å.
Fractional coordinates of all 3 atoms:
Tb 0.9203 0.0000 0.0000  3 Hg 3.09, 3 Gd 3.43
Gd 0.3778 0.3333 0.6667  3 Hg 3.21, 6 Tb 3.43-3.60
Hg 0.7019 0.6667 0.3333  3 Tb 3.09, 3 Gd 3.21

- Energy relative to the lowest polymorph listed for this composition: 12.4 kJ/mol of atoms
- Density of states at the Fermi level: 2.830 states/eV/f.u.
- DFT formation energy: -18.6 kJ per mole of atoms
- Symmetry: P3m1

---

2.
This record from Alexandria describes a relaxed SrAlBr crystal. The functional is PBE.

Cell lengths 5.2311, 5.2311, 5.2311 Å; angles 60.00, 60.00, 60.00 degrees
Last column: nearest neighbours and their distance in Å.
Fractional coordinates of all 3 atoms:
Al 0.5000 0.5000 0.5000  4 Br 3.20
Br 0.2500 0.2500 0.2500  4 Al 3.20, 4 Sr 3.20
Sr 0.0000 0.0000 0.0000  4 Br 3.20

- Density of states at the Fermi level: 1.905 states/eV/f.u.
- Symmetry: F-43m
- Formation energy without anion corrections: -0.287 eV/atom

---

3.
This record from Alexandria describes a relaxed Th3AlP2Ir9 crystal. The functional is PBE.

Cell lengths 5.7159, 5.7159, 10.2358 Å; angles 90.00, 90.00, 120.00 degrees
Last column: nearest neighbours and their distance in Å.
Fractional coordinates of all 15 atoms:
Ir 0.5000 0.5000 0.0000  2 P 2.33
Al 0.0000 0.0000 0.5000  6 Ir 2.52
Ir 0.3222 0.1611 0.6904  1 P 2.29, 1 Al 2.52
P 0.3333 0.6667 0.1603  6 Ir 2.29-2.33
Ir 0.0000 0.5000 0.0000  2 P 2.33
Th 0.3333 0.6667 0.5946  9 Ir 3.02-3.38
Ir 0.8389 0.1611 0.6904  1 P 2.29, 1 Al 2.52
Th 0.0000 0.0000 0.0000  6 Ir 2.86
Ir 0.1611 0.8389 0.3096  1 P 2.29, 1 Al 2.52
Ir 0.5000 0.0000 0.0000  2 P 2.33
Ir 0.1611 0.3222 0.3096  1 P 2.29, 1 Al 2.52
P 0.6667 0.3333 0.8397  6 Ir 2.29-2.33
Ir 0.6778 0.8389 0.3096  1 P 2.29, 1 Al 2.52
Ir 0.8389 0.6778 0.6904  1 P 2.29, 1 Al 2.52
Th 0.6667 0.3333 0.4054  9 Ir 3.02-3.38

- Density of states at the Fermi level: 5.993 states/eV/f.u.
- DFT formation energy: -58.4 kJ per mole of atoms
- Symmetry: P-3m1

---

4.
This record from Alexandria describes a relaxed TlCdGeBi crystal. The functional is PBE.

Cell lengths 5.3515, 5.3515, 5.3515 Å; angles 60.00, 60.00, 60.00 degrees
Last column: nearest neighbours and their distance in Å.
Fractional coordinates of all 4 atoms:
Bi 0.0000 0.0000 0.0000  4 Ge 3.28, 4 Cd 3.28
Ge 0.7500 0.7500 0.7500  4 Bi 3.28, 4 Tl 3.28
Cd 0.2500 0.2500 0.2500  4 Bi 3.28, 4 Tl 3.28
Tl 0.5000 0.5000 0.5000  4 Cd 3.28, 4 Ge 3.28

- Density of states at the Fermi level: 2.272 states/eV/f.u.
- DFT formation energy: 17.8 kJ per mole of atoms
- Symmetry: F-43m

---

5.
This record from Alexandria describes a relaxed Sc6TeSe3S2 crystal. The functional is PBE.

Cell lengths 3.8550, 7.7812, 8.6487 Å; angles 103.17, 102.88, 90.00 degrees
Last column: nearest neighbours and their distance in Å.
Fractional coordinates of all 12 atoms:
Sc 0.6770 0.1219 0.3541  2 S 2.60, 3 Se 2.68-2.90
Se 0.5000 0.5000 0.0000  6 Sc 2.63-2.83
Sc 0.9855 0.7200 0.9711  1 S 2.57, 2 Se 2.63
Se 0.1608 0.8367 0.3217  6 Sc 2.68-2.90
Te 0.5000 0.0000 0.0000  6 Sc 2.88-2.91
Se 0.8392 0.1633 0.6783  6 Sc 2.68-2.90
S 0.1707 0.3416 0.3415  6 Sc 2.57-2.61
Sc 0.3230 0.8781 0.6459  2 S 2.60, 3 Se 2.68-2.90
Sc 0.3276 0.4309 0.6552  3 S 2.57-2.61, 3 Se 2.83-2.88
S 0.8293 0.6584 0.6585  6 Sc 2.57-2.61
Sc 0.0145 0.2800 0.0289  1 S 2.57, 2 Se 2.63
Sc 0.6724 0.5691 0.3448  3 S 2.57-2.61, 3 Se 2.83-2.88

- Density of states at the Fermi level: 7.206 states/eV/f.u.
- Symmetry: C2/m
- Formation energy without anion corrections: -1.588 eV/atom

---

6.
This record from Alexandria describes a relaxed GeSbAuSe crystal. The functional is PBE.

Cell lengths 3.6472, 4.8292, 7.2035 Å; angles 92.39, 90.00, 112.19 degrees
Last column: nearest neighbours and their distance in Å.
Fractional coordinates of all 4 atoms:
Sb 0.0671 0.1343 0.5559  3 Au 2.62-2.66, 1 Ge 2.76
Se 0.7035 0.4070 0.0729  2 Ge 2.48
Au 0.3588 0.7177 0.6154  3 Sb 2.62-2.66
Ge 0.0367 0.0734 0.1727  2 Se 2.48, 1 Sb 2.76

- Density of states at the Fermi level: 1.386 states/eV/f.u.
- Symmetry: Cm
- Formation energy without anion corrections: 0.039 eV/atom

---

7.
This record from Alexandria describes a relaxed Zr crystal. The functional is PBE.

Cell lengths 4.4605, 4.4605, 4.4605 Å; angles 60.00, 60.00, 60.00 degrees
Last column: nearest neighbours and their distance in Å.
Fractional coordinates of all 2 atoms:
Zr 0.7500 0.7500 0.7500  4 Zr 2.73
Zr 0.0000 0.0000 0.0000  4 Zr 2.73

- Energy relative to the lowest polymorph listed for this composition: 230.5 kJ/mol of atoms
- Density of states at the Fermi level: 2.185 states/eV/f.u.
- DFT formation energy: 230.5 kJ per mole of atoms
- Symmetry: Fd-3m

---

8.
This record from Alexandria describes a relaxed KAl2CuF8 crystal. The functional is PBE.

Cell lengths 5.2990, 5.2990, 8.1130 Å; angles 70.94, 70.94, 60.00 degrees
Last column: nearest neighbours and their distance in Å.
Fractional coordinates of all 12 atoms:
F 0.4204 0.7150 0.8269  1 Al 1.70
F 0.5796 0.2850 0.1731  1 Al 1.70
F 0.1793 0.1793 0.4622  1 Al 1.70
F 0.0377 0.4204 0.8269  1 Al 1.70
K 0.5000 0.5000 0.5000  12 F 3.05-3.07
Cu 0.0000 0.0000 0.0000  6 F 2.28
F 0.8207 0.8207 0.5378  1 Al 1.70
F 0.7150 0.0377 0.8269  1 Al 1.70
Al 0.2549 0.2549 0.2354  4 F 1.70
Al 0.7451 0.7451 0.7646  4 F 1.70
F 0.9623 0.5796 0.1731  1 Al 1.70
F 0.2850 0.9623 0.1731  1 Al 1.70

- Symmetry: R-3
- Formation energy without anion corrections: -2.893 eV/atom

---

9.
This record from Alexandria describes a relaxed BiCBr2 crystal. The functional is PBE.

Cell lengths 5.0957, 5.0957, 5.0957 Å; angles 60.00, 60.00, 60.00 degrees
Last column: nearest neighbours and their distance in Å.
Fractional coordinates of all 4 atoms:
Bi 0.5000 0.5000 0.5000  8 Br 3.12
Br 0.2500 0.2500 0.2500  4 C 3.12, 4 Bi 3.12
C 0.0000 0.0000 0.0000  8 Br 3.12
Br 0.7500 0.7500 0.7500  4 Bi 3.12, 4 C 3.12

- Energy relative to the lowest polymorph listed for this composition: 21.2 kJ/mol of atoms
- Density of states at the Fermi level: 6.362 states/eV/f.u.
- Symmetry: Fm-3m
- Formation energy without anion corrections: 1.474 eV/atom

---

10.
This record from Alexandria describes a relaxed Na3Sb4Pt4 crystal. The functional is PBE.

Cell lengths 7.1730, 7.1730, 7.1730 Å; angles 109.47, 109.47, 109.47 degrees
Last column: nearest neighbours and their distance in Å.
Fractional coordinates of all 11 atoms:
Pt 0.0000 0.0000 0.3377  4 Sb 2.55-2.67
Na 0.5000 0.5000 0.0000  4 Pt 3.38, 4 Sb 3.39
Na 0.0000 0.5000 0.5000  4 Pt 3.38, 4 Sb 3.39
Sb 0.0000 0.6939 0.0000  4 Pt 2.55-2.67
Na 0.5000 0.0000 0.5000  4 Pt 3.38, 4 Sb 3.39
Pt 0.6623 0.6623 0.6623  4 Sb 2.55-2.67
Sb 0.0000 0.0000 0.6939  4 Pt 2.55-2.67
Sb 0.6939 0.0000 0.0000  4 Pt 2.55-2.67
Sb 0.3061 0.3061 0.3061  4 Pt 2.55-2.67
Pt 0.3377 0.0000 0.0000  4 Sb 2.55-2.67
Pt 0.0000 0.3377 0.0000  4 Sb 2.55-2.67

- Energy relative to the lowest polymorph listed for this composition: 0.0 kJ/mol of atoms
- Density of states at the Fermi level: 7.118 states/eV/f.u.
- Symmetry: I-43m
- Formation energy without anion corrections: -0.407 eV/atom

---

11.
This record from Alexandria describes a relaxed CaSeS2N crystal. The functional is PBE.

Cell lengths 4.9877, 4.9877, 3.8304 Å; angles 90.00, 90.00, 90.00 degrees
Last column: nearest neighbours and their distance in Å.
Fractional coordinates of all 5 atoms:
Ca 0.5000 0.5000 0.5000  8 S 3.14
N 0.0000 0.0000 0.5000  2 Se 1.92
S 0.0000 0.5000 0.0000  2 Se 2.49
S 0.5000 0.0000 0.0000  2 Se 2.49
Se 0.0000 0.0000 0.0000  2 N 1.92

- Energy relative to the lowest polymorph listed for this composition: 0.0 kJ/mol of atoms
- Density of states at the Fermi level: 1.723 states/eV/f.u.
- Symmetry: P4/mmm
- Formation energy without anion corrections: 0.077 eV/atom

---

12.
This record from Alexandria describes a relaxed Zr2Ni9Sn crystal. The functional is PBE.

Cell lengths 3.7554, 3.7554, 11.2104 Å; angles 90.00, 90.00, 90.00 degrees
Last column: nearest neighbours and their distance in Å.
Fractional coordinates of all 12 atoms:
Zr 0.0000 0.0000 0.3320  12 Ni 2.64-2.66
Ni 0.5000 0.5000 0.6684  8 Ni 2.64-2.66, 4 Zr 2.66
Ni 0.0000 0.5000 0.5000  8 Ni 2.66, 4 Zr 2.66
Ni 0.5000 0.5000 0.3316  8 Ni 2.64-2.66, 4 Zr 2.66
Ni 0.0000 0.5000 0.1659  8 Ni 2.64-2.66, 2 Sn 2.64, 2 Zr 2.64
Ni 0.5000 0.0000 0.5000  8 Ni 2.66, 4 Zr 2.66
Ni 0.5000 0.5000 0.0000  8 Ni 2.64, 4 Sn 2.66
Ni 0.5000 0.0000 0.1659  8 Ni 2.64-2.66, 2 Sn 2.64, 2 Zr 2.64
Sn 0.0000 0.0000 0.0000  12 Ni 2.64-2.66
Ni 0.5000 0.0000 0.8341  8 Ni 2.64-2.66, 2 Sn 2.64, 2 Zr 2.64
Ni 0.0000 0.5000 0.8341  8 Ni 2.64-2.66, 2 Sn 2.64, 2 Zr 2.64
Zr 0.0000 0.0000 0.6680  12 Ni 2.64-2.66

- Energy relative to the lowest polymorph listed for this composition: 0.0 kJ/mol of atoms
- Density of states at the Fermi level: 2.588 states/eV/f.u.
- DFT formation energy: -34.1 kJ per mole of atoms
- Symmetry: P4/mmm